A plane-wave DFT calculation with PBE was carried out for a relaxed structure of Sr2Li5Ca.

a = 5.729 Å, b = 5.729 Å, c = 15.653 Å
α = 90.00°, β = 90.00°, γ = 90.00°
Space group I4/mmm (No. 139)
One atom of each set of equivalent atoms:
1 Sr 0.000 0.000 0.240 x4
2 Li 0.000 0.000 0.000 x2
3 Li 0.000 0.500 0.104 x8
4 Ca 0.000 0.000 0.500 x2

Output
ΔE_f (eV/atom): 0.055
N(E_F) (states/eV per cell): 12.1
Calculated total energy (eV/atom): -1.812